! NaLaBeF2 (SCAN, PBEsol geometry); values from VASP
! E_form (uncorrected) ... -75.2 kJ/mol of atoms
! Fermi-level density of states ... 3.0 states/eV/f.u.
&SYSTEM
  ibrav = 0, nat = 5, ntyp = 4
/
ATOMIC_SPECIES
La 138.91 La.upf
Be 9.01 Be.upf
Na 22.99 Na.upf
F 19.00 F.upf
ATOMIC_POSITIONS crystal
La 0.500 0.500 0.500
Be 0.000 0.000 0.000
Na 0.000 0.000 0.500
F 0.500 0.000 0.000
F 0.000 0.500 0.000
CELL_PARAMETERS angstrom
-3.393 -0.092 -2.349
2.257 -1.282 -3.210
-0.812 -4.841 1.362

! Zr2MoOs (SCAN, PBEsol geometry); values from VASP
! Fermi-level density of states ... 4.5 states/eV/f.u.
! Formation energy from the elements ... 0.2554 eV per atom
&SYSTEM
  ibrav = 0, nat = 4, ntyp = 3
/
ATOMIC_SPECIES
Zr 91.22 Zr.upf
Os 190.23 Os.upf
Mo 95.94 Mo.upf
ATOMIC_POSITIONS crystal
Zr 0.992 0.992 0.023
Zr 0.755 0.755 0.734
Os 0.244 0.244 0.269
Mo 0.509 0.509 0.474
CELL_PARAMETERS angstrom
2.884 0.000 0.000
1.442 2.497 0.000
1.442 0.832 9.889

! BaBrCl2 (SCAN, PBEsol geometry); values from VASP
! Energy above the lowest structure with this stoichiometry ... 91 meV per atom
! E_form (uncorrected) ... -173.8 kJ/mol of atoms
! Fermi-level density of states ... 2.1 states/eV/f.u.
&SYSTEM
  ibrav = 0, nat = 4, ntyp = 3
/
ATOMIC_SPECIES
Cl 35.45 Cl.upf
Ba 137.33 Ba.upf
Br 79.90 Br.upf
ATOMIC_POSITIONS crystal
Cl 0.000 0.500 0.000
Cl 0.000 0.000 0.500
Ba 0.500 0.500 0.500
Br 0.500 0.000 0.000
CELL_PARAMETERS angstrom
-1.588 -2.748 -3.028
3.085 -3.468 1.530
-3.352 -1.576 3.188

! Mn3SiIr (SCAN, PBEsol geometry); values from VASP
! E_form (uncorrected) ... 67.3 kJ/mol of atoms
! Fermi-level density of states ... 2.6 states/eV/f.u.
&SYSTEM
  ibrav = 0, nat = 5, ntyp = 3
/
ATOMIC_SPECIES
Mn 54.94 Mn.upf
Ir 192.22 Ir.upf
Si 28.09 Si.upf
ATOMIC_POSITIONS crystal
Mn 0.000 0.000 0.500
Ir 0.000 0.000 0.000
Si 0.500 0.500 0.500
Mn 0.500 0.000 0.000
Mn 0.000 0.500 0.000
CELL_PARAMETERS angstrom
-0.047 -2.424 -4.004
3.633 -2.544 1.497
-2.952 -3.093 1.907

! Ba2SbPd (SCAN, PBEsol geometry); values from VASP
! E_form (uncorrected) ... -52.6 kJ/mol of atoms
! Fermi-level density of states ... 0.8 states/eV/f.u.
&SYSTEM
  ibrav = 0, nat = 8, ntyp = 3
/
ATOMIC_SPECIES
Ba 137.33 Ba.upf
Pd 106.42 Pd.upf
Sb 121.76 Sb.upf
ATOMIC_POSITIONS crystal
Ba 0.172 0.453 0.953
Ba 0.875 0.953 0.547
Ba 0.578 0.547 0.047
Pd 0.250 0.500 0.500
Pd 0.500 0.000 0.000
Sb 0.000 0.000 0.000
Sb 0.750 0.500 0.500
Ba 0.375 0.047 0.453
CELL_PARAMETERS angstrom
-0.057 -6.016 2.724
6.218 -3.318 0.808
0.603 -0.436 7.055

! NiCS2 (SCAN, PBEsol geometry); values from VASP
! E_form (uncorrected) ... 53.5 kJ/mol of atoms
&SYSTEM
  ibrav = 0, nat = 8, ntyp = 3
/
ATOMIC_SPECIES
S 32.06 S.upf
Ni 58.69 Ni.upf
C 12.01 C.upf
ATOMIC_POSITIONS crystal
S 0.413 0.875 0.250
Ni 0.000 0.000 0.000
S 0.125 0.163 0.750
C 0.750 0.250 0.500
Ni 0.250 0.750 0.500
C 0.500 0.500 0.000
S 0.625 0.587 0.750
S 0.837 0.375 0.250
CELL_PARAMETERS angstrom
4.723 0.000 0.000
0.000 4.723 0.000
-2.362 -2.362 4.437

! KMoSN2 (SCAN, PBEsol geometry); values from VASP
! E_form (uncorrected) ... -7.1 kJ/mol of atoms
! Fermi-level density of states ... 3.2 states/eV/f.u.
&SYSTEM
  ibrav = 0, nat = 5, ntyp = 4
/
ATOMIC_SPECIES
N 14.01 N.upf
Mo 95.94 Mo.upf
K 39.10 K.upf
S 32.06 S.upf
ATOMIC_POSITIONS crystal
N 0.500 0.000 0.000
Mo 0.000 0.000 0.000
K 0.500 0.500 0.500
S 0.000 0.000 0.500
N 0.000 0.500 0.000
CELL_PARAMETERS angstrom
3.978 0.000 0.000
0.000 3.978 0.000
0.000 0.000 4.824

! LiTlRu2 (SCAN, PBEsol geometry); values from VASP
! Fermi-level density of states ... 3.0 states/eV/f.u.
! Formation energy from the elements ... 0.4502 eV per atom
&SYSTEM
  ibrav = 0, nat = 4, ntyp = 3
/
ATOMIC_SPECIES
Tl 204.38 Tl.upf
Ru 101.07 Ru.upf
Li 6.94 Li.upf
ATOMIC_POSITIONS crystal
Tl 0.506 0.506 0.011
Ru 0.737 0.237 0.474
Ru 0.000 0.000 0.000
Li 0.258 0.758 0.515
CELL_PARAMETERS angstrom
3.079 0.000 0.000
0.000 4.483 0.000
-1.539 -2.241 4.350

! Cr2TcMo (SCAN, PBEsol geometry); values from VASP
! Energy above the lowest structure with this stoichiometry ... 94 meV per atom
! Fermi-level density of states ... 3.4 states/eV/f.u.
! Formation energy from the elements ... 0.0800 eV per atom
&SYSTEM
  ibrav = 0, nat = 4, ntyp = 3
/
ATOMIC_SPECIES
Cr 52.00 Cr.upf
Mo 95.94 Mo.upf
Tc 98.00 Tc.upf
ATOMIC_POSITIONS crystal
Cr 0.247 0.247 0.494
Mo 0.500 0.000 0.000
Tc 0.000 0.500 0.000
Cr 0.753 0.753 0.506
CELL_PARAMETERS angstrom
2.978 0.000 0.000
0.000 4.235 0.000
-1.489 -2.117 4.141

! CoTc2W (SCAN, PBEsol geometry); values from VASP
! Energy above the lowest structure with this stoichiometry ... 0 meV per atom
! Fermi-level density of states ... 3.5 states/eV/f.u.
! Formation energy from the elements ... 0.0948 eV per atom
&SYSTEM
  ibrav = 0, nat = 4, ntyp = 3
/
ATOMIC_SPECIES
W 183.84 W.upf
Co 58.93 Co.upf
Tc 98.00 Tc.upf
ATOMIC_POSITIONS crystal
W 0.500 0.500 0.500
Co 0.000 0.000 0.500
Tc 0.000 0.500 0.000
Tc 0.500 0.000 0.000
CELL_PARAMETERS angstrom
-1.837 0.806 -3.165
-2.893 -2.087 1.147
-1.541 3.056 1.673

! MgReTc2 (SCAN, PBEsol geometry); values from VASP
! Fermi-level density of states ... 2.8 states/eV/f.u.
! Formation energy from the elements ... 0.1283 eV per atom
&SYSTEM
  ibrav = 0, nat = 4, ntyp = 3
/
ATOMIC_SPECIES
Tc 98.00 Tc.upf
Re 186.21 Re.upf
Mg 24.30 Mg.upf
ATOMIC_POSITIONS crystal
Tc 0.255 0.255 0.236
Re 0.000 0.000 0.000
Tc 0.745 0.745 0.764
Mg 0.500 0.500 0.500
CELL_PARAMETERS angstrom
2.764 0.000 0.000
1.382 2.393 0.000
1.382 0.798 9.083

! AlReSbTe2 (SCAN, PBEsol geometry); values from VASP
! E_form (uncorrected) ... 83.8 kJ/mol of atoms
! Fermi-level density of states ... 4.6 states/eV/f.u.
&SYSTEM
  ibrav = 0, nat = 5, ntyp = 4
/
ATOMIC_SPECIES
Sb 121.76 Sb.upf
Al 26.98 Al.upf
Re 186.21 Re.upf
Te 127.60 Te.upf
ATOMIC_POSITIONS crystal
Sb 0.500 0.000 0.000
Al 0.500 0.500 0.500
Re 0.000 0.000 0.000
Te 0.000 0.000 0.500
Te 0.000 0.500 0.000
CELL_PARAMETERS angstrom
-3.560 -3.601 -0.561
1.438 -2.134 4.571
-3.466 3.036 2.507

! LuH2 (SCAN, PBEsol geometry); values from VASP
! Fermi-level density of states ... 0.6 states/eV/f.u.
&SYSTEM
  ibrav = 0, nat = 3, ntyp = 2
/
ATOMIC_SPECIES
H 1.01 H.upf
Lu 174.97 Lu.upf
ATOMIC_POSITIONS crystal
H 0.250 0.250 0.250
Lu 0.000 0.000 0.000
H 0.750 0.750 0.750
CELL_PARAMETERS angstrom
-2.694 -0.368 -2.195
0.150 -2.364 -2.569
-1.993 -2.867 0.145

! CaLa2Co (SCAN, PBEsol geometry); values from VASP
! Energy above the lowest structure with this stoichiometry ... 56 meV per atom
! Fermi-level density of states ... 3.8 states/eV/f.u.
! Formation energy from the elements ... 0.0837 eV per atom
&SYSTEM
  ibrav = 0, nat = 4, ntyp = 3
/
ATOMIC_SPECIES
Ca 40.08 Ca.upf
La 138.91 La.upf
Co 58.93 Co.upf
ATOMIC_POSITIONS crystal
Ca 0.000 0.500 0.000
La 0.821 0.821 0.643
Co 0.500 0.000 0.000
La 0.179 0.179 0.357
CELL_PARAMETERS angstrom
3.653 0.000 0.000
0.000 5.829 0.000
-1.826 -2.914 5.264

! MnV2B2 (SCAN, PBEsol geometry); values from VASP
! Fermi-level density of states ... 2.6 states/eV/f.u.
! Formation energy from the elements ... -0.7328 eV per atom
&SYSTEM
  ibrav = 0, nat = 10, ntyp = 3
/
ATOMIC_SPECIES
B 10.81 B.upf
V 50.94 V.upf
Mn 54.94 Mn.upf
ATOMIC_POSITIONS crystal
B 0.000 0.115 0.385
V 0.500 0.676 0.824
Mn 0.000 0.000 0.000
B 0.000 0.385 0.885
V 0.500 0.324 0.176
V 0.500 0.824 0.324
V 0.500 0.176 0.676
B 0.000 0.885 0.615
B 0.000 0.615 0.115
Mn 0.000 0.500 0.500
CELL_PARAMETERS angstrom
-1.695 -2.372 -0.633
2.563 -0.535 -4.852
3.744 -3.301 2.342

! KFe2Ni (SCAN, PBEsol geometry); values from VASP
! Energy above the lowest structure with this stoichiometry ... 45 meV per atom
! Fermi-level density of states ... 2.8 states/eV/f.u.
! Formation energy from the elements ... 0.6486 eV per atom
&SYSTEM
  ibrav = 0, nat = 4, ntyp = 3
/
ATOMIC_SPECIES
K 39.10 K.upf
Fe 55.84 Fe.upf
Ni 58.69 Ni.upf
ATOMIC_POSITIONS crystal
K 0.500 0.500 0.000
Fe 0.000 0.000 0.680
Fe 0.000 0.000 0.320
Ni 0.500 0.500 0.500
CELL_PARAMETERS angstrom
-1.518 -0.569 2.046
-0.366 -2.407 -0.941
7.294 -2.910 4.602

! Cu5Au (SCAN, PBEsol geometry); values from VASP
! Energy above the lowest structure with this stoichiometry ... 21 meV per atom
! Fermi-level density of states ... 2.0 states/eV/f.u.
! Formation energy from the elements ... -0.0184 eV per atom
&SYSTEM
  ibrav = 0, nat = 6, ntyp = 2
/
ATOMIC_SPECIES
Au 196.97 Au.upf
Cu 63.55 Cu.upf
ATOMIC_POSITIONS crystal
Au 0.500 0.000 0.000
Cu 0.500 0.667 0.333
Cu 0.000 0.000 0.652
Cu 0.000 0.652 0.000
Cu 0.500 0.333 0.667
Cu 0.000 0.348 0.348
CELL_PARAMETERS angstrom
4.229 0.000 0.000
0.000 4.492 0.000
0.000 -2.246 3.890

! ZrCuAu (SCAN, PBEsol geometry); values from VASP
! Energy above the lowest structure with this stoichiometry ... 7 meV per atom
! Fermi-level density of states ... 1.0 states/eV/f.u.
! Formation energy from the elements ... -0.5076 eV per atom
&SYSTEM
  ibrav = 0, nat = 3, ntyp = 3
/
ATOMIC_SPECIES
Cu 63.55 Cu.upf
Zr 91.22 Zr.upf
Au 196.97 Au.upf
ATOMIC_POSITIONS crystal
Cu 0.339 0.339 0.678
Zr 0.669 0.669 0.339
Au 0.991 0.991 0.983
CELL_PARAMETERS angstrom
-3.284 0.689 0.587
0.173 -1.690 2.953
2.678 4.136 0.245

! AgPSeS2 (SCAN, PBEsol geometry); values from VASP
! E_form (uncorrected) ... 113.3 kJ/mol of atoms
! Fermi-level density of states ... 4.8 states/eV/f.u.
&SYSTEM
  ibrav = 0, nat = 5, ntyp = 4
/
ATOMIC_SPECIES
S 32.06 S.upf
P 30.97 P.upf
Se 78.96 Se.upf
Ag 107.87 Ag.upf
ATOMIC_POSITIONS crystal
S 0.500 0.000 0.000
P 0.000 0.000 0.500
Se 0.500 0.500 0.500
S 0.000 0.500 0.000
Ag 0.000 0.000 0.000
CELL_PARAMETERS angstrom
-4.614 -0.627 0.230
0.663 -4.491 1.058
0.081 1.103 4.631

! Sr2CaMg (SCAN, PBEsol geometry); values from VASP
! Fermi-level density of states ... 3.1 states/eV/f.u.
! Formation energy from the elements ... 0.0610 eV per atom
&SYSTEM
  ibrav = 0, nat = 4, ntyp = 3
/
ATOMIC_SPECIES
Sr 87.62 Sr.upf
Ca 40.08 Ca.upf
Mg 24.30 Mg.upf
ATOMIC_POSITIONS crystal
Sr 0.000 0.000 0.000
Sr 0.750 0.750 0.750
Ca 0.500 0.500 0.500
Mg 0.250 0.250 0.250
CELL_PARAMETERS angstrom
-2.021 1.282 5.560
3.766 -0.285 4.730
1.773 5.083 2.768

Number 1: uncorrected energy -62.65 eV/cell. Number 2: uncorrected energy -167.14 eV/cell. Number 3: uncorrected energy -82.17 eV/cell. Number 4: uncorrected energy -132.39 eV/cell. Number 5: uncorrected energy -302.64 eV/cell. Number 6: uncorrected energy -86.62 eV/cell. Number 7: uncorrected energy -71.79 eV/cell. Number 8: uncorrected energy -142.60 eV/cell. Number 9: uncorrected energy -106.39 eV/cell. Number 10: uncorrected energy -156.73 eV/cell. Number 11: uncorrected energy -145.68 eV/cell. Number 12: uncorrected energy -186.27 eV/cell. Number 13: uncorrected energy -64.61 eV/cell. Number 14: uncorrected energy -112.84 eV/cell. Number 15: uncorrected energy -143.51 eV/cell. Number 16: uncorrected energy -58.17 eV/cell. Number 17: uncorrected energy -145.26 eV/cell. Number 18: uncorrected energy -116.58 eV/cell. Number 19: uncorrected energy -75.23 eV/cell. Number 20: uncorrected energy -58.94 eV/cell.